# 1
BaCuMo2S8 after structural relaxation, computed with GGA-PBE.

Cell: 6.0658 6.0658 9.5783 Å, 71.54 71.54 60.00°
Closest atoms and distances in Å follow each position.
Atoms (fractional coordinates):
Ba  0.5000  0.5000  0.5000  12 S 3.50-3.60
Cu  0.0000  0.0000  0.0000  6 S 2.47
Mo  0.2521  0.2521  0.2437  4 S 2.20
Mo  0.7479  0.7479  0.7563  4 S 2.20
S  0.1697  0.1697  0.4910  1 Mo 2.20
S  0.6216  0.2805  0.1626  1 Mo 2.20
S  0.8303  0.8303  0.5090  1 Mo 2.20
S  0.9353  0.6216  0.1626  1 Mo 2.20
S  0.0647  0.3784  0.8374  1 Mo 2.20
S  0.2805  0.9353  0.1626  1 Mo 2.20
S  0.7195  0.0647  0.8374  1 Mo 2.20
S  0.3784  0.7195  0.8374  1 Mo 2.20

Output
For the uncorrected formation energy, the calculation gives -676.5 kJ/mol of formula units. As for the density of states at the Fermi level: 7.5 states/eV per cell. Its space group is R-3.

=====

# 2
BaZn2CuMo after structural relaxation, computed with GGA-PBE.

Cell: 4.8146 5.6413 4.8146 Å, 90.00 90.00 90.00°
Closest atoms and distances in Å follow each position.
Atoms (fractional coordinates):
Zn  0.0000  0.0000  0.5000  2 Cu 2.41
Zn  0.5000  0.0000  0.0000  2 Cu 2.41
Mo  0.5000  0.5000  0.5000  4 Ba 3.40, 8 Zn 3.71
Ba  0.0000  0.5000  0.0000  2 Cu 2.82
Cu  0.0000  0.0000  0.0000  4 Zn 2.41

Output
As for the density of states at the Fermi level: 2.9 states/eV per cell. Its space group is P4/mmm. The formation energy from the elements is 0.930 eV/atom.